The following is a DFT calculation (PBE) of a relaxed structure of AcScAl2.

## Properties
**Raw total energy**: -4.47 eV per atom
**Energy above the lowest structure with this stoichiometry**: 315 meV per atom
**DFT formation energy**: 1 kJ per mole of atoms
**DOS at the Fermi energy**: 3.3 states/eV/f.u.

abc: 3.6183 3.6183 28.3187
angles: 90.00 90.00 120.00
Space group R-3m (No. 166, hexagonal axes)
Asymmetric unit:
Ac 0.0000 0.0000 0.0000 x3
Sc 0.0000 0.0000 0.5000 x3
Al 0.0000 0.0000 0.2403 x6